A geometry-optimized BaAgIr2 structure. Source: OQMD via LeMat-Bulk, functional PBE-GGA.

Geometry as POSCAR:
```
BaAgIr2
1.0
-2.2010 -1.3819 4.1598
-4.3796 1.8591 1.1920
-3.9967 -2.8385 -0.1660
Ag Ba Ir
1 1 2
direct
0.5000 0.5000 0.5000
0.7500 0.7500 0.7500
0.0000 0.0000 0.0000
0.2500 0.2500 0.2500
```

Calculated values
Space group ... F-43m, No. 216
Calculated total energy ... -4.85 eV per atom